(1)
## Ag2WSe (PBE)

Data for an optimized crystal structure of Ag2WSe.

The structure in extended XYZ format:
```
4
Lattice="5.776 -0.005 0.011 4.974 2.936 0.011 1.742 0.475 4.113" Properties=species:S:1:pos:R:3 pbc="T T T"
Se 9.369 2.555 3.102
Ag 6.213 1.694 2.083
Ag 1.775 0.484 4.098
W 3.123 0.852 1.034
```

Computed properties:
Symmetry: No. 71
Electronic total energy in eV per atom: -4.909

***

(2)
## AgWSe2 (PBE)

Data for an optimized crystal structure of AgWSe2.

The structure in extended XYZ format:
```
4
Lattice="-7.146 -1.288 3.336 -4.557 -4.925 4.339 6.535 4.172 -1.932" Properties=species:S:1:pos:R:3 pbc="T T T"
Se -2.374 0.344 2.059
Se -11.295 -5.997 7.408
Ag -2.580 -2.272 3.545
W -6.471 -3.435 4.244
```

Computed properties:
Distance to the lowest polymorph of the same formula in meV/atom: 204
Symmetry: No. 44
Electronic total energy in eV per atom: -5.543

***

(3)
## AgW2Se (PBE)

Data for an optimized crystal structure of AgW2Se.

The structure in extended XYZ format:
```
4
Lattice="5.563 -0.017 -0.002 2.689 4.870 0.002 -3.545 -3.414 2.593" Properties=species:S:1:pos:R:3 pbc="T T T"
Ag 4.096 2.409 0.000
Se 1.420 1.815 1.298
W 3.350 -0.339 1.296
W 8.219 4.834 0.000
```

Computed properties:
Symmetry: No. 44
Electronic total energy in eV per atom: -7.357

***

(4)
## AgW2Se (PBE)

Data for an optimized crystal structure of AgW2Se.

The structure in extended XYZ format:
```
4
Lattice="-2.219 -1.821 -1.027 -0.575 -0.909 2.853 -4.596 5.191 0.728" Properties=species:S:1:pos:R:3 pbc="T T T"
Se -4.844 2.528 1.459
W -4.465 5.043 0.707
W -2.429 2.744 0.385
Ag -2.546 -0.067 1.095
```

Computed properties:
Symmetry: No. 123
Electronic total energy in eV per atom: -7.347

***

(5)
## Ag2WSe (PBE)

Data for an optimized crystal structure of Ag2WSe.

The structure in extended XYZ format:
```
4
Lattice="9.492 -0.014 -0.008 9.002 3.012 -0.008 9.002 1.459 2.635" Properties=species:S:1:pos:R:3 pbc="T T T"
W 20.750 3.364 1.976
Ag 7.044 1.142 0.671
Ag 0.127 0.021 0.012
Se 13.322 2.160 1.269
```

Computed properties:
Symmetry: No. 160
Electronic total energy in eV per atom: -5.338

***

(6)
## AgW2Se (PBE)

Data for an optimized crystal structure of AgW2Se.

The structure in extended XYZ format:
```
4
Lattice="4.345 0.000 0.000 0.000 2.867 0.004 0.000 1.222 5.442" Properties=species:S:1:pos:R:3 pbc="T T T"
W 0.000 3.516 5.427
W 0.000 2.617 2.741
Ag 2.173 1.022 1.361
Se 2.173 3.067 4.084
```

Computed properties:
Symmetry: No. 10
Electronic total energy in eV per atom: -7.284

***

The evaluated formation energy without anion corrections for the records listed, in turn: 626, 150, 703, 713, 197, 776 meV per atom.